Entry 1:
{"formula": "Ba3Hg13", "functional": "PBE", "state": "relaxed", "lattice_angstrom": [[6.9399, -1.6801, 0.0000], [-1.7048, 6.9339, 0.0000], [0.0000, 0.0000, 10.8394]], "species": ["Hg", "Hg", "Hg", "Hg", "Hg", "Hg", "Hg", "Hg", "Hg", "Hg", "Hg", "Hg", "Hg", "Ba", "Ba", "Ba"], "frac_coords": [[0.2070, 0.7930, 0.0000], [0.8142, 0.1858, 0.5000], [0.5060, 0.4940, 0.7521], [0.2032, 0.3440, 0.0000], [0.3192, 0.2732, 0.5000], [0.2331, 0.7669, 0.5000], [0.5157, 0.9699, 0.2661], [0.7268, 0.6808, 0.5000], [0.6560, 0.7968, 0.0000], [0.0301, 0.4843, 0.7339], [0.5157, 0.9699, 0.7339], [0.0301, 0.4843, 0.2661], [0.5060, 0.4940, 0.2479], [0.0227, 0.9773, 0.7519], [0.6915, 0.3085, 0.0000], [0.0227, 0.9773, 0.2481]], "formation_enthalpy_0k_ev_per_atom": -0.325, "spacegroup": "Amm2"}

Entry 2:
{"formula": "GaCu2SiSe", "functional": "PBE", "state": "relaxed", "lattice_angstrom": [[-0.3577, 3.4348, 2.8719], [-4.1581, -2.1604, 2.0660], [2.5973, -2.1876, 2.9398]], "species": ["Ga", "Si", "Cu", "Cu", "Se"], "frac_coords": [[0.5000, 0.5000, 0.5000], [0.0000, 0.0000, 0.0000], [0.0000, 0.0000, 0.5000], [0.5000, 0.0000, 0.0000], [0.0000, 0.5000, 0.0000]], "spacegroup": "P4/mmm", "e_form_raw_ev_per_atom": 0.352}

Entry 3:
{"formula": "Pm3Zn2Au6", "functional": "PBE", "state": "relaxed", "lattice_angstrom": [[4.4294, 0.0000, 0.0000], [0.0000, 4.4294, 0.0000], [-2.2147, -2.2147, 12.4325]], "species": ["Au", "Au", "Au", "Au", "Au", "Au", "Pm", "Pm", "Pm", "Zn", "Zn"], "frac_coords": [[0.3178, 0.3178, 0.6356], [0.3972, 0.8972, 0.7943], [0.6822, 0.6822, 0.3644], [0.8972, 0.3972, 0.7943], [0.6028, 0.1028, 0.2057], [0.1028, 0.6028, 0.2057], [0.0000, 0.0000, 0.0000], [0.1969, 0.1969, 0.3938], [0.8031, 0.8031, 0.6062], [0.5482, 0.5482, 0.0964], [0.4518, 0.4518, 0.9036]], "formation_enthalpy_0k_ev_per_atom": -0.594, "spacegroup": "I4/mmm"}

Entry 4:
{"formula": "Sr3C4", "functional": "PBE", "state": "relaxed", "lattice_angstrom": [[5.6232, 0.0000, 0.0000], [0.0000, 5.6232, 0.0000], [0.0000, 0.0000, 5.6232]], "species": ["Sr", "Sr", "Sr", "C", "C", "C", "C"], "frac_coords": [[0.5000, 0.0000, 0.0000], [0.0000, 0.0000, 0.5000], [0.0000, 0.5000, 0.0000], [0.0000, 0.5000, 0.5000], [0.5000, 0.5000, 0.0000], [0.5000, 0.0000, 0.5000], [0.0000, 0.0000, 0.0000]], "polymorph_energy_ev_per_atom": 0.7947, "formation_enthalpy_0k_ev_per_atom": 2.098, "spacegroup": "Pm-3m"}